{
  "formula": "Dy2PdPt9",
  "functional": "PBE-GGA",
  "state": "optimized geometry",
  "lattice_angstrom": [[2.684, 1.550, 8.789], [-2.684, 1.550, 8.789], [0.000, -3.099, 8.789]],
  "species": ["Dy", "Dy", "Pd", "Pt", "Pt", "Pt", "Pt", "Pt", "Pt", "Pt", "Pt", "Pt"],
  "frac_coords": [[0.134, 0.134, 0.134], [0.866, 0.866, 0.866], [0.000, 0.000, 0.000], [0.081, 0.587, 0.587], [0.333, 0.333, 0.333], [0.413, 0.413, 0.919], [0.413, 0.919, 0.413], [0.500, 0.500, 0.500], [0.587, 0.081, 0.587], [0.587, 0.587, 0.081], [0.667, 0.667, 0.667], [0.919, 0.413, 0.413]],
  "rho_g_cm3": 16.561,
  "total_magnetization_mub_per_atom": 0.000,
  "formation_energy_ev_per_atom": -0.59,
  "dos_at_fermi_per_ev_atom": 0.659
}